[1]
Compound: BeTlFeMo
Source: the Open Quantum Materials Database
Functional: PBE
Structure: relaxed

As for the space-group type: F-43m (216). The calculation puts the calculated volume at 56 Å³/cell.

abc: 4.3052 4.3052 4.3052
angles: 60.00 60.00 60.00
Fractional coordinates of all 4 atoms:
Mo (0.5000, 0.5000, 0.5000)
Be (0.2500, 0.2500, 0.2500)
Fe (0.7500, 0.7500, 0.7500)
Tl (0.0000, 0.0000, 0.0000)



[2]
Compound: Cu3GeSe2S2
Source: the Open Quantum Materials Database
Functional: PBE
Structure: relaxed

As for the space-group type: C2 (5). The calculation puts the calculated volume at 160 Å³/cell.

abc: 6.6421 6.6421 5.4328
angles: 113.82 113.82 48.14
Fractional coordinates of all 8 atoms:
Cu (0.0190, 0.9810, 0.5000)
Cu (0.7489, 0.7512, 0.7766)
Cu (0.2488, 0.2511, 0.2234)
S (0.1240, 0.6274, 0.1253)
S (0.3726, 0.8760, 0.8747)
Se (0.8791, 0.3791, 0.3809)
Se (0.6209, 0.1209, 0.6191)
Ge (0.4868, 0.5132, 0.0000)



[3]
Compound: Y2HoSc3Bi2Os
Source: the Open Quantum Materials Database
Functional: PBE
Structure: relaxed

As for the space-group type: Amm2 (38). The calculation puts the calculated volume at 230 Å³/cell.

abc: 4.2237 7.9297 7.9297
angles: 120.07 90.00 90.00
Fractional coordinates of all 9 atoms:
Sc (0.5000, 0.9998, 0.7765)
Sc (0.5000, 0.2224, 0.2224)
Sc (0.5000, 0.7765, 0.9998)
Y (0.0000, 0.3892, 0.0000)
Y (0.0000, 0.0000, 0.3892)
Bi (0.5000, 0.6664, 0.3342)
Bi (0.5000, 0.3342, 0.6664)
Os (0.0000, 0.9978, 0.9978)
Ho (0.0000, 0.6138, 0.6138)



[4]
Compound: Ho3MgIn3AgPd
Source: the Open Quantum Materials Database
Functional: PBE
Structure: relaxed

As for the space-group type: P-6 (174). The calculation puts the calculated volume at 210 Å³/cell.

abc: 7.9991 7.9991 3.7920
angles: 90.00 90.00 120.00
Fractional coordinates of all 9 atoms:
Pd (0.3333, 0.6667, 0.5000)
Ho (0.5866, 0.6190, 0.0000)
Ho (0.0325, 0.4134, 0.0000)
Ho (0.3810, 0.9675, 0.0000)
In (0.7358, 0.0118, 0.5000)
In (0.2760, 0.2642, 0.5000)
In (0.9882, 0.7240, 0.5000)
Ag (0.0000, 0.0000, 0.0000)
Mg (0.6667, 0.3333, 0.5000)



Per-record final energy, eV per atom: -5.7279; -4.1696; -6.8251; -4.0071